Compound: Pm3Zn6Pd5
Source: Alexandria
Functional: PBE
Structure: relaxed

The final energy comes out at -4.05 eV/atom. The calculation puts the formation energy at -0.63 eV/atom.

Lattice parameters (Å, degrees): 4.336 9.435 12.876 90.00 90.00 90.00
Positions (direct):
Pd (0.000, 0.866, 0.663)
Pm (0.500, 0.751, 0.809)
Pd (0.500, 0.209, 0.500)
Zn (0.500, 0.016, 0.354)
Zn (0.000, 0.984, 0.854)
Zn (0.500, 0.411, 0.181)
Pd (0.500, 0.461, 0.385)
Pd (0.500, 0.461, 0.615)
Pm (0.000, 0.249, 0.309)
Zn (0.500, 0.411, 0.819)
Zn (0.500, 0.970, 0.000)
Pd (0.000, 0.791, 0.000)
Pd (0.000, 0.539, 0.115)
Pd (0.500, 0.134, 0.163)
Zn (0.500, 0.552, 0.000)
Zn (0.000, 0.984, 0.146)
Pd (0.500, 0.134, 0.837)
Zn (0.000, 0.589, 0.681)
Zn (0.500, 0.016, 0.646)
Pm (0.000, 0.249, 0.691)
Pm (0.500, 0.740, 0.500)
Zn (0.000, 0.448, 0.500)
Pd (0.000, 0.539, 0.885)
Pd (0.000, 0.866, 0.337)
Zn (0.000, 0.589, 0.319)
Pm (0.000, 0.260, 0.000)
Pm (0.500, 0.751, 0.191)
Zn (0.000, 0.030, 0.500)